Record 1
Computed, not measured: an optimized crystal structure of TlInI5 at the PBE-GGA level of DFT.

a = 12.2143 Å, b = 11.7394 Å, c = 11.6470 Å
α = 90.00°, β = 117.80°, γ = 90.00°
Last column: nearest neighbours and their distance in Å.
Space group C2/c (No. 15)
One atom of each set of equivalent atoms:
Tl: 0.0000 0.0000 0.0000  6 I 3.01-3.35
In: 0.0000 0.4035 0.2500  4 I 2.77-2.78
I: 0.0000 0.0650 0.7500  2 Tl 3.01
I: 0.0138 0.2813 0.4595  1 In 2.77
I: 0.1972 0.4443 0.8407  1 In 2.78

Calculated values
VASP energy (eV per atom): -2.2426
Size of the total moment (Bohr magnetons per cell): 0.00
ΔE_f (raw) (meV per atom): -406

Record 2
Computed, not measured: an optimized crystal structure of Rb2LaSmS4 at the PBE-GGA level of DFT.

a = 7.3593 Å, b = 4.2471 Å, c = 8.0804 Å
α = 90.00°, β = 107.64°, γ = 90.00°
Last column: nearest neighbours and their distance in Å.
Space group P2/m (No. 10)
One atom of each set of equivalent atoms:
Rb: 0.0000 0.0000 0.0000  6 S 3.41-3.42
Rb: 0.5000 0.5000 0.0000  6 S 3.36-3.37
La: 0.0000 0.5000 0.5000  6 S 2.90-2.92
Sm: 0.5000 0.0000 0.5000  6 S 2.85-2.86
S: 0.2386 0.0000 0.6971  1 Sm 2.85, 2 La 2.90
S: 0.2741 0.5000 0.3045  2 Sm 2.86, 1 La 2.92

Calculated values
VASP energy (eV per atom): -5.3768
Size of the total moment (Bohr magnetons per cell): 0.00
ΔE_f (raw) (meV per atom): -1865

Record 3
Computed, not measured: an optimized crystal structure of BaSrSb2 at the PBE-GGA level of DFT.

a = 4.3129 Å, b = 4.3129 Å, c = 31.8919 Å
α = 90.00°, β = 90.00°, γ = 120.00°
Last column: nearest neighbours and their distance in Å.
Space group R3m (No. 160, hexagonal axes)
One atom of each set of equivalent atoms:
Ba: 0.0000 0.0000 0.0000  3 Sb 3.64
Sr: 0.0000 0.0000 0.7844  3 Sb 3.49
Sb: 0.0000 0.0000 0.2500  3 Sb 3.05
Sb: 0.0000 0.0000 0.5279  3 Sb 3.05

Calculated values
VASP energy (eV per atom): -3.1105
Size of the total moment (Bohr magnetons per cell): 0.00
ΔE_f (raw) (meV per atom): -148

Record 4
Computed, not measured: an optimized crystal structure of Sc2CdInSn at the PBE-GGA level of DFT.

a = 5.3303 Å, b = 5.3303 Å, c = 5.1000 Å
α = 90.00°, β = 90.00°, γ = 90.00°
Last column: nearest neighbours and their distance in Å.
Space group P4/mmm (No. 123)
One atom of each set of equivalent atoms:
Sc: 0.0000 0.5000 0.0000  2 Cd 2.67
Cd: 0.0000 0.0000 0.0000  2 In 2.55, 4 Sc 2.67
In: 0.0000 0.0000 0.5000  2 Cd 2.55
Sn: 0.5000 0.5000 0.5000  8 Sc 3.69, 4 In 3.77

Calculated values
VASP energy (eV per atom): -3.7194
Size of the total moment (Bohr magnetons per cell): 0.00
Calculated formation energy (eV per atom): 0.34

Record 5
Computed, not measured: an optimized crystal structure of Li2MgTa at the PBE-GGA level of DFT.

a = 2.7590 Å, b = 4.9891 Å, c = 10.1234 Å
α = 90.00°, β = 90.00°, γ = 90.00°
Last column: nearest neighbours and their distance in Å.
Space group Imm2 (No. 44)
One atom of each set of equivalent atoms:
Li: 0.0000 0.0000 0.0000  4 Li 2.62-2.76, 2 Mg 2.78, 4 Ta 2.85
Li: 0.0000 0.5000 0.2794  4 Li 2.62-2.76, 4 Mg 2.88
Mg: 0.0000 0.5000 0.7386  2 Mg 2.76, 6 Li 2.78-2.88, 2 Ta 3.06
Ta: 0.0000 0.0000 0.5089  2 Ta 2.76, 6 Li 2.85-3.07, 2 Mg 3.06

Calculated values
VASP energy (eV per atom): -3.8706
Size of the total moment (Bohr magnetons per cell): 0.02
Calculated formation energy (eV per atom): 0.45

Record 6
Computed, not measured: an optimized crystal structure of Ba2NaTe2 at the PBE-GGA level of DFT.

a = 6.8913 Å, b = 6.8913 Å, c = 12.4412 Å
α = 90.00°, β = 90.00°, γ = 90.00°
Last column: nearest neighbours and their distance in Å.
Space group I4/mmm (No. 139)
One atom of each set of equivalent atoms:
Ba: 0.0000 0.5000 0.2500  4 Te 3.45
Na: 0.0000 0.0000 0.0000  2 Te 3.04
Te: 0.0000 0.0000 0.2443  1 Na 3.04

Calculated values
VASP energy (eV per atom): -3.3904
Size of the total moment (Bohr magnetons per cell): 0.00
ΔE_f (raw) (meV per atom): -1101